Record 1
# Th2InHg4

An optimized crystal structure of Th2InHg4 (GGA-PBE, Alexandria).

Structure (extended XYZ):
```
7
Lattice="-3.599 -3.858 -0.530 -1.385 -2.928 4.198 -7.528 2.976 2.939" Properties=species:S:1:pos:R:3 pbc="T T T"
In 0.000 0.000 0.000
Hg -5.223 0.918 2.265
Hg -4.412 -3.551 2.764
Hg -7.289 -4.728 4.343
Hg -8.100 -0.259 3.843
Th -9.568 -2.693 5.009
Th -2.945 -1.116 1.598
```

Output
raw total energy	-2.810	eV per atom
total magnetization	0.00	Bohr magnetons per cell
space-group type	No. 166
calculated formation energy	-2.92	kcal/mol of atoms

Record 2
# ThInHg4

An optimized crystal structure of ThInHg4 (GGA-PBE, Alexandria).

Structure (extended XYZ):
```
12
Lattice="5.002 0.000 -0.035 0.000 7.542 0.000 -2.437 0.000 8.156" Properties=species:S:1:pos:R:3 pbc="T T T"
Hg 2.504 5.657 0.347
Hg 0.000 3.771 0.000
Hg 0.056 7.377 5.501
Hg 0.000 0.000 0.000
Hg 0.061 1.886 7.775
Hg 2.510 3.606 2.621
Hg 0.056 3.937 5.501
Hg 2.510 0.165 2.621
Th 0.012 5.657 2.755
Th 2.553 1.886 5.366
In 2.553 5.657 5.413
In 0.013 1.886 2.709
```

Output
raw total energy	-2.019	eV per atom
distance to the lowest polymorph of the same formula	41	meV per atom
total magnetization	0.00	Bohr magnetons per cell
space-group type	No. 11
calculated formation energy	-2.88	kcal/mol of atoms

Record 3
# Th2InHg

An optimized crystal structure of Th2InHg (GGA-PBE, Alexandria).

Structure (extended XYZ):
```
4
Lattice="3.425 0.000 0.000 1.713 2.966 0.000 1.713 0.989 11.976" Properties=species:S:1:pos:R:3 pbc="T T T"
In 0.000 0.000 0.000
Th 1.713 0.989 8.670
Th 5.138 2.966 3.305
Hg 3.425 1.978 5.988
```

Output
raw total energy	-4.363	eV per atom
total magnetization	0.00	Bohr magnetons per cell
space-group type	No. 166
calculated formation energy	2.46	kcal/mol of atoms

Record 4
# Th7In3Hg2

An optimized crystal structure of Th7In3Hg2 (GGA-PBE, Alexandria).

Structure (extended XYZ):
```
12
Lattice="5.662 0.000 0.000 0.000 5.567 -1.106 0.000 -0.443 12.339" Properties=species:S:1:pos:R:3 pbc="T T T"
Th 0.000 1.341 6.754
Th 0.000 0.000 0.000
Th 0.000 1.980 9.970
Th 0.000 3.144 1.263
Th 2.831 0.388 1.951
Th 0.000 3.783 4.479
Th 2.831 4.737 9.282
Hg 0.000 4.414 7.658
Hg 0.000 0.710 3.575
In 2.831 2.784 -0.553
In 2.831 1.618 8.148
In 2.831 3.506 3.085
```

Output
raw total energy	-4.983	eV per atom
total magnetization	0.00	Bohr magnetons per cell
space-group type	No. 65
calculated formation energy	1.85	kcal/mol of atoms

Record 5
# ThIn3Hg3

An optimized crystal structure of ThIn3Hg3 (GGA-PBE, Alexandria).

Structure (extended XYZ):
```
14
Lattice="-0.082 2.978 -4.192 2.211 -7.174 -5.140 -8.747 1.956 1.560" Properties=species:S:1:pos:R:3 pbc="T T T"
Th -1.462 -3.386 -3.954
Th -5.156 1.146 -3.817
In 0.409 -5.705 -5.638
In 0.083 -0.883 -2.206
In -7.027 3.465 -2.134
In -6.702 -1.358 -5.566
In -1.739 1.331 -3.753
In -4.880 -3.571 -4.019
Hg -1.394 -3.516 -7.203
Hg -6.781 -1.246 -2.330
Hg -5.225 1.276 -0.569
Hg -3.279 -1.181 -5.507
Hg -3.339 -1.059 -2.265
Hg 0.163 -0.995 -5.442
```

Output
raw total energy	-2.426	eV per atom
distance to the lowest polymorph of the same formula	13	meV per atom
total magnetization	0.00	Bohr magnetons per cell
space-group type	No. 176
calculated formation energy	-1.45	kcal/mol of atoms

Record 6
# Th4In3Hg

An optimized crystal structure of Th4In3Hg (GGA-PBE, Alexandria).

Structure (extended XYZ):
```
8
Lattice="-2.138 -0.575 4.076 -1.432 -4.513 -1.388 8.281 -3.799 3.807" Properties=species:S:1:pos:R:3 pbc="T T T"
Hg -1.785 -2.544 1.344
In 1.005 -1.239 2.992
In 2.355 -4.443 3.247
In 5.137 -3.135 4.891
Th 0.000 0.000 0.000
Th 1.341 -3.200 0.251
Th 5.508 -5.112 2.167
Th 4.140 -1.899 1.904
```

Output
raw total energy	-5.042	eV per atom
total magnetization	0.00	Bohr magnetons per cell
space-group type	No. 47
calculated formation energy	-6.16	kcal/mol of atoms

Record 7
# Th4InHg

An optimized crystal structure of Th4InHg (GGA-PBE, Alexandria).

Structure (extended XYZ):
```
12
Lattice="5.577 0.000 0.000 0.000 6.645 0.000 -2.788 0.000 10.905" Properties=species:S:1:pos:R:3 pbc="T T T"
Th 0.000 5.284 2.776
Th 0.000 0.388 6.338
Th 0.000 5.671 9.428
Th 0.000 3.716 6.310
Th 2.788 0.394 4.594
Th 2.788 3.710 4.567
Th 2.788 1.962 8.129
Th 2.788 2.349 1.477
Hg 0.000 2.426 9.355
Hg 2.788 5.748 1.550
In 0.000 2.006 3.339
In 2.788 5.328 7.566
```

Output
raw total energy	-5.337	eV per atom
distance to the lowest polymorph of the same formula	273	meV per atom
total magnetization	0.00	Bohr magnetons per cell
space-group type	No. 36
calculated formation energy	2.68	kcal/mol of atoms

Record 8
# Th2In3Hg3

An optimized crystal structure of Th2In3Hg3 (GGA-PBE, Alexandria).

Structure (extended XYZ):
```
8
Lattice="-4.432 1.037 -1.280 -0.944 -4.605 -0.461 -2.682 -0.351 8.999" Properties=species:S:1:pos:R:3 pbc="T T T"
In -1.813 -2.478 4.269
In -3.557 0.343 3.859
In -0.472 -2.303 -0.230
Th -2.012 -0.263 6.751
Th -0.670 -0.088 2.249
Hg -3.370 -1.873 1.419
Hg -4.688 -2.046 5.839
Hg -2.216 0.518 -0.640
```

Output
raw total energy	-3.271	eV per atom
total magnetization	0.00	Bohr magnetons per cell
space-group type	No. 47
calculated formation energy	-6.36	kcal/mol of atoms

Record 9
# Th2In4Hg

An optimized crystal structure of Th2In4Hg (GGA-PBE, Alexandria).

Structure (extended XYZ):
```
7
Lattice="-3.712 3.461 3.130 -4.403 -3.923 -0.882 5.626 -2.669 3.943" Properties=species:S:1:pos:R:3 pbc="T T T"
In -1.417 -3.412 2.092
In -1.856 1.731 1.565
In -1.072 0.281 4.099
In -2.202 -1.962 -0.441
Th 1.098 -2.030 3.547
Th -3.587 -1.101 2.644
Hg 0.000 0.000 0.000
```

Output
raw total energy	-3.674	eV per atom
total magnetization	0.00	Bohr magnetons per cell
space-group type	No. 139
calculated formation energy	1.24	kcal/mol of atoms

Record 10
# Th2In2Hg

An optimized crystal structure of Th2In2Hg (GGA-PBE, Alexandria).

Structure (extended XYZ):
```
5
Lattice="-1.588 -3.105 0.328 1.178 -1.094 -4.652 6.195 -2.660 4.798" Properties=species:S:1:pos:R:3 pbc="T T T"
Th 6.311 -3.252 -0.241
Th 3.228 -1.795 -1.364
In -0.088 -2.155 -2.119
In 3.380 -3.526 1.685
Hg 0.693 -2.256 0.706
```

Output
raw total energy	-4.407	eV per atom
distance to the lowest polymorph of the same formula	0	meV per atom
total magnetization	0.00	Bohr magnetons per cell
space-group type	No. 38
calculated formation energy	-6.54	kcal/mol of atoms

Record 11
# Th2InHg

An optimized crystal structure of Th2InHg (GGA-PBE, Alexandria).

Structure (extended XYZ):
```
4
Lattice="3.550 0.000 0.000 0.000 5.726 -0.487 0.000 -1.232 5.613" Properties=species:S:1:pos:R:3 pbc="T T T"
Th 0.000 -0.616 2.807
Th 0.000 2.863 -0.243
Hg 1.775 2.247 2.563
In 1.775 0.000 0.000
```

Output
raw total energy	-4.722	eV per atom
total magnetization	0.00	Bohr magnetons per cell
space-group type	No. 65
calculated formation energy	-5.81	kcal/mol of atoms

Record 12
# Th3In2Hg3

An optimized crystal structure of Th3In2Hg3 (GGA-PBE, Alexandria).

Structure (extended XYZ):
```
16
Lattice="4.729 0.000 0.000 -2.364 5.853 0.000 0.000 0.000 15.772" Properties=species:S:1:pos:R:3 pbc="T T T"
Th 0.000 0.870 9.641
Th 2.364 4.983 1.755
Th 0.000 4.120 11.829
Th 2.364 1.733 3.943
Th 2.364 4.983 6.131
Th 0.000 0.870 14.017
Hg 2.364 1.430 11.829
Hg 0.000 4.484 15.205
Hg 0.000 4.423 3.943
Hg 2.364 1.368 7.319
Hg 2.364 1.368 0.567
Hg 0.000 4.484 8.452
In 2.364 3.336 9.595
In 0.000 2.517 1.709
In 0.000 2.517 6.177
In 2.364 3.336 14.063
```

Output
raw total energy	-3.823	eV per atom
total magnetization	0.96	Bohr magnetons per cell
space-group type	No. 63
calculated formation energy	-5.59	kcal/mol of atoms